# PrHoGa2Pd4, relaxed, DFT PBE
# Raw total energy (eV per atom): -5.376
data_PrHoGa2Pd4
_chemical_formula_sum 'Pr1 Ho1 Ga2 Pd4'
_symmetry_space_group_name_H-M 'P -6 m 2'
_symmetry_Int_Tables_number 187
_symmetry_space_group_name_Hall 'P -6 2'
_cell_length_a 4.4302
_cell_length_b 4.4302
_cell_length_c 9.2244
_cell_angle_alpha 90.00
_cell_angle_beta 90.00
_cell_angle_gamma 120.00
loop_
_atom_site_label
_atom_site_fract_x
_atom_site_fract_y
_atom_site_fract_z
_atom_site_occupancy
Pr1 0.0000 0.0000 0.0000 1
Ho1 0.3333 0.6667 0.5000 1
Ga1 0.6667 0.3333 0.2557 1
Pd1 0.0000 0.0000 0.3372 1
Pd2 0.3333 0.6667 0.1827 1